No. 1
# RbPHRuC

Crystalline RbPHRuC at its relaxed geometry (PBE-GGA, the Alexandria database).

Geometry as CIF:
```
data_RbPHRuC
_cell_length_a 5.2534
_cell_length_b 5.2534
_cell_length_c 6.4396
_cell_angle_alpha 114.61
_cell_angle_beta 114.61
_cell_angle_gamma 33.27
_space_group_name_H-M_alt 'P 1'
_space_group_IT_number 1
_space_group_name_Hall 'P 1'
loop_
_atom_site_label
_atom_site_fract_x
_atom_site_fract_y
_atom_site_fract_z
Rb1 0.0000 0.0000 0.0000
P1 0.3795 0.3795 0.4527
H1 0.1680 0.1680 0.7153
Ru1 0.6219 0.6219 0.5537
C1 0.7752 0.7752 0.4388
```

Results
ρ: 4.36 Mg/m³
Crystal system: monoclinic
Total energy: -5.33 eV per atom
Density of states at the Fermi level: 0.6747 states/eV per atom

No. 2
# Sm5GeBi2

Crystalline Sm5GeBi2 at its relaxed geometry (PBE-GGA, the Alexandria database).

Geometry as CIF:
```
data_Sm5GeBi2
_cell_length_a 7.1601
_cell_length_b 7.1601
_cell_length_c 14.3421
_cell_angle_alpha 90.00
_cell_angle_beta 90.00
_cell_angle_gamma 128.97
_space_group_name_H-M_alt 'P 1'
_space_group_IT_number 1
_space_group_name_Hall 'P 1'
loop_
_atom_site_label
_atom_site_fract_x
_atom_site_fract_y
_atom_site_fract_z
Sm1 0.0569 0.9431 0.6194
Sm2 0.0569 0.9431 0.8806
Sm3 0.3174 0.6826 0.2500
Sm4 0.3677 0.6323 0.5894
Sm5 0.3677 0.6323 0.9106
Sm6 0.6323 0.3677 0.0894
Sm7 0.6323 0.3677 0.4106
Sm8 0.6826 0.3174 0.7500
Sm9 0.9431 0.0569 0.1194
Sm10 0.9431 0.0569 0.3806
Ge1 0.2261 0.7739 0.7500
Ge2 0.7739 0.2261 0.2500
Bi1 0.1842 0.8158 0.0692
Bi2 0.1842 0.8158 0.4308
Bi3 0.8158 0.1842 0.5692
Bi4 0.8158 0.1842 0.9308
```

Results
ρ: 7.22 Mg/m³
Calculated formation energy: -0.375 eV/atom
Crystal system: orthorhombic
Total energy: -4.87 eV per atom
Density of states at the Fermi level: 1.1568 states/eV per atom

No. 3
# La6Y3Er

Crystalline La6Y3Er at its relaxed geometry (PBE-GGA, the Alexandria database).

Geometry as CIF:
```
data_La6Y3Er
_cell_length_a 9.1042
_cell_length_b 9.1042
_cell_length_c 9.1042
_cell_angle_alpha 80.05
_cell_angle_beta 80.05
_cell_angle_gamma 80.05
_space_group_name_H-M_alt 'P 1'
_space_group_IT_number 1
_space_group_name_Hall 'P 1'
loop_
_atom_site_label
_atom_site_fract_x
_atom_site_fract_y
_atom_site_fract_z
La1 0.0362 0.0378 0.3325
La2 0.0378 0.3325 0.0362
La3 0.2104 0.5966 0.2109
La4 0.2109 0.2104 0.5966
La5 0.3325 0.0362 0.0378
La6 0.4034 0.7891 0.7896
La7 0.5966 0.2109 0.2104
La8 0.6675 0.9638 0.9622
La9 0.7891 0.7896 0.4034
La10 0.7896 0.4034 0.7891
La11 0.9622 0.6675 0.9638
La12 0.9638 0.9622 0.6675
Y1 0.1324 0.6023 0.6049
Y2 0.3951 0.8676 0.3977
Y3 0.3977 0.3951 0.8676
Y4 0.6023 0.6049 0.1324
Y5 0.6049 0.1324 0.6023
Y6 0.8676 0.3977 0.3951
Er1 0.0000 0.0000 0.0000
Er2 0.5000 0.5000 0.5000
```

Results
ρ: 5.81 Mg/m³
Calculated formation energy: 0.232 eV/atom
Crystal system: trigonal
Total energy: -5.12 eV per atom
Density of states at the Fermi level: 1.5963 states/eV per atom

No. 4
# Y2RhW

Crystalline Y2RhW at its relaxed geometry (PBE-GGA, the Alexandria database).

Geometry as CIF:
```
data_Y2RhW
_cell_length_a 3.2576
_cell_length_b 3.5932
_cell_length_c 7.1945
_cell_angle_alpha 90.00
_cell_angle_beta 90.00
_cell_angle_gamma 90.00
_space_group_name_H-M_alt 'P 1'
_space_group_IT_number 1
_space_group_name_Hall 'P 1'
loop_
_atom_site_label
_atom_site_fract_x
_atom_site_fract_y
_atom_site_fract_z
Y1 0.0000 0.0000 0.2375
Y2 0.0000 0.0000 0.7625
Rh1 0.5000 0.5000 0.0000
W1 0.5000 0.5000 0.5000
```

Results
ρ: 9.16 Mg/m³
Calculated formation energy: 0.045 eV/atom
Crystal system: orthorhombic
Total energy: -8.26 eV per atom
Density of states at the Fermi level: 1.3903 states/eV per atom

No. 5
# K2SbPCO7

Crystalline K2SbPCO7 at its relaxed geometry (PBE-GGA, the Alexandria database).

Geometry as CIF:
```
data_K2SbPCO7
_cell_length_a 6.2588
_cell_length_b 6.9469
_cell_length_c 9.8867
_cell_angle_alpha 90.00
_cell_angle_beta 94.37
_cell_angle_gamma 90.00
_space_group_name_H-M_alt 'P 1'
_space_group_IT_number 1
_space_group_name_Hall 'P 1'
loop_
_atom_site_label
_atom_site_fract_x
_atom_site_fract_y
_atom_site_fract_z
K1 0.2227 0.0094 0.2750
K2 0.2227 0.4906 0.2750
K3 0.7773 0.5094 0.7250
K4 0.7773 0.9906 0.7250
Sb1 0.3374 0.2500 0.8819
Sb2 0.6626 0.7500 0.1181
P1 0.2695 0.7500 0.9044
P2 0.7305 0.2500 0.0956
C1 0.2554 0.2500 0.6113
C2 0.7446 0.7500 0.3887
O1 0.0284 0.7500 0.8764
O2 0.0904 0.2500 0.6848
O3 0.2491 0.2500 0.4849
O4 0.3279 0.7500 0.0659
O5 0.3834 0.5696 0.8470
O6 0.3834 0.9304 0.8470
O7 0.4453 0.2500 0.6871
O8 0.5547 0.7500 0.3129
O9 0.6166 0.0696 0.1530
O10 0.6166 0.4304 0.1530
O11 0.6721 0.2500 0.9341
O12 0.7509 0.7500 0.5151
O13 0.9096 0.7500 0.3152
O14 0.9716 0.2500 0.1236
```

Results
ρ: 2.75 Mg/m³
ΔE_f (raw): -1870 meV/atom
Crystal system: monoclinic
Total energy: -6.51 eV per atom
Density of states at the Fermi level: 0.0000 states/eV per atom

No. 6
# BaSbPt2

Crystalline BaSbPt2 at its relaxed geometry (PBE-GGA, the Alexandria database).

Geometry as CIF:
```
data_BaSbPt2
_cell_length_a 6.2610
_cell_length_b 6.2610
_cell_length_c 6.2610
_cell_angle_alpha 43.57
_cell_angle_beta 43.57
_cell_angle_gamma 43.57
_space_group_name_H-M_alt 'P 1'
_space_group_IT_number 1
_space_group_name_Hall 'P 1'
loop_
_atom_site_label
_atom_site_fract_x
_atom_site_fract_y
_atom_site_fract_z
Ba1 0.0000 0.0000 0.0000
Sb1 0.5000 0.5000 0.5000
Pt1 0.1980 0.1980 0.1980
Pt2 0.8020 0.8020 0.8020
```

Results
ρ: 10.19 Mg/m³
ΔE_f (raw): -704 meV/atom
Crystal system: trigonal
Total energy: -5.24 eV per atom
Density of states at the Fermi level: 0.4509 states/eV per atom

No. 7
# Sr2TeRuC

Crystalline Sr2TeRuC at its relaxed geometry (PBE-GGA, the Alexandria database).

Geometry as CIF:
```
data_Sr2TeRuC
_cell_length_a 5.5689
_cell_length_b 5.5689
_cell_length_c 3.9665
_cell_angle_alpha 90.00
_cell_angle_beta 90.00
_cell_angle_gamma 90.00
_space_group_name_H-M_alt 'P 1'
_space_group_IT_number 1
_space_group_name_Hall 'P 1'
loop_
_atom_site_label
_atom_site_fract_x
_atom_site_fract_y
_atom_site_fract_z
Sr1 0.0000 0.5000 0.0000
Sr2 0.5000 0.0000 0.0000
Te1 0.0000 0.0000 0.5000
Ru1 0.5000 0.5000 0.5000
C1 0.5000 0.5000 0.0000
```

Results
ρ: 5.61 Mg/m³
ΔE_f (raw): -320 meV/atom
Crystal system: tetragonal
Total energy: -5.32 eV per atom
Density of states at the Fermi level: 0.8012 states/eV per atom

No. 8
# Nd2ErTh

Crystalline Nd2ErTh at its relaxed geometry (PBE-GGA, the Alexandria database).

Geometry as CIF:
```
data_Nd2ErTh
_cell_length_a 5.7416
_cell_length_b 5.7416
_cell_length_c 5.7416
_cell_angle_alpha 60.00
_cell_angle_beta 60.00
_cell_angle_gamma 60.00
_space_group_name_H-M_alt 'P 1'
_space_group_IT_number 1
_space_group_name_Hall 'P 1'
loop_
_atom_site_label
_atom_site_fract_x
_atom_site_fract_y
_atom_site_fract_z
Nd1 0.2500 0.2500 0.2500
Nd2 0.7500 0.7500 0.7500
Er1 0.0000 0.0000 0.0000
Th1 0.5000 0.5000 0.5000
```

Results
ρ: 8.53 Mg/m³
Calculated formation energy: 0.211 eV/atom
Crystal system: cubic
Total energy: -5.17 eV per atom
Density of states at the Fermi level: 2.8234 states/eV per atom

No. 9
# Li2ErPt3

Crystalline Li2ErPt3 at its relaxed geometry (PBE-GGA, the Alexandria database).

Geometry as CIF:
```
data_Li2ErPt3
_cell_length_a 4.4605
_cell_length_b 4.4605
_cell_length_c 5.5884
_cell_angle_alpha 90.00
_cell_angle_beta 90.00
_cell_angle_gamma 120.00
_space_group_name_H-M_alt 'P 1'
_space_group_IT_number 1
_space_group_name_Hall 'P 1'
loop_
_atom_site_label
_atom_site_fract_x
_atom_site_fract_y
_atom_site_fract_z
Li1 0.3333 0.6667 0.1685
Li2 0.6667 0.3333 0.8315
Er1 0.0000 0.0000 0.5000
Pt1 0.0000 0.0000 0.0000
Pt2 0.3333 0.6667 0.7082
Pt3 0.6667 0.3333 0.2918
```

Results
ρ: 13.22 Mg/m³
Calculated formation energy: -0.792 eV/atom
Crystal system: trigonal
Total energy: -5.21 eV per atom
Density of states at the Fermi level: 0.4390 states/eV per atom

No. 10
# RbInBi

Crystalline RbInBi at its relaxed geometry (PBE-GGA, the Alexandria database).

Geometry as CIF:
```
data_RbInBi
_cell_length_a 5.5707
_cell_length_b 5.5707
_cell_length_c 5.5707
_cell_angle_alpha 60.00
_cell_angle_beta 60.00
_cell_angle_gamma 60.00
_space_group_name_H-M_alt 'P 1'
_space_group_IT_number 1
_space_group_name_Hall 'P 1'
loop_
_atom_site_label
_atom_site_fract_x
_atom_site_fract_y
_atom_site_fract_z
Rb1 0.0000 0.0000 0.0000
In1 0.2500 0.2500 0.2500
Bi1 0.5000 0.5000 0.5000
```

Results
ρ: 5.56 Mg/m³
Calculated formation energy: -0.068 eV/atom
Crystal system: cubic
Total energy: -2.60 eV per atom
Density of states at the Fermi level: 0.3620 states/eV per atom

No. 11
# Sr2CrRu

Crystalline Sr2CrRu at its relaxed geometry (PBE-GGA, the Alexandria database).

Geometry as CIF:
```
data_Sr2CrRu
_cell_length_a 8.3607
_cell_length_b 8.3607
_cell_length_c 8.3607
_cell_angle_alpha 94.33
_cell_angle_beta 94.33
_cell_angle_gamma 148.10
_space_group_name_H-M_alt 'P 1'
_space_group_IT_number 1
_space_group_name_Hall 'P 1'
loop_
_atom_site_label
_atom_site_fract_x
_atom_site_fract_y
_atom_site_fract_z
Sr1 0.3750 0.0544 0.1794
Sr2 0.8044 0.6250 0.6794
Sr3 0.8750 0.1956 0.8206
Sr4 0.9456 0.1250 0.3206
Cr1 0.2500 0.7500 0.5000
Cr2 0.5000 0.5000 0.0000
Ru1 0.0000 0.0000 0.0000
Ru2 0.7500 0.2500 0.5000
```

Results
ρ: 3.67 Mg/m³
Calculated formation energy: 0.595 eV/atom
Crystal system: tetragonal
Total energy: -4.97 eV per atom
Density of states at the Fermi level: 0.7933 states/eV per atom

No. 12
# Cs2ScCo

Crystalline Cs2ScCo at its relaxed geometry (PBE-GGA, the Alexandria database).

Geometry as CIF:
```
data_Cs2ScCo
_cell_length_a 10.0742
_cell_length_b 10.0742
_cell_length_c 10.0742
_cell_angle_alpha 92.93
_cell_angle_beta 92.93
_cell_angle_gamma 153.88
_space_group_name_H-M_alt 'P 1'
_space_group_IT_number 1
_space_group_name_Hall 'P 1'
loop_
_atom_site_label
_atom_site_fract_x
_atom_site_fract_y
_atom_site_fract_z
Cs1 0.3750 0.0499 0.1749
Cs2 0.7999 0.6250 0.6749
Cs3 0.8750 0.2001 0.8251
Cs4 0.9501 0.1250 0.3251
Sc1 0.2500 0.7500 0.5000
Sc2 0.5000 0.5000 0.0000
Co1 0.0000 0.0000 0.0000
Co2 0.7500 0.2500 0.5000
```

Results
ρ: 2.80 Mg/m³
Calculated formation energy: 0.767 eV/atom
Crystal system: tetragonal
Total energy: -3.02 eV per atom
Density of states at the Fermi level: 0.7384 states/eV per atom